VASP calculation (GGA-PBE) on TcMoIr4 after structural relaxation.

Structure (POSCAR):
```
TcMoIr4
1.0
0.0000 3.6066 3.6066
3.6066 0.0000 3.6066
3.6066 3.6066 0.0000
Tc Mo Ir
1 1 4
Direct
0.0000 0.0000 0.0000
0.2500 0.2500 0.2500
0.1245 0.6252 0.6252
0.6252 0.1245 0.6252
0.6252 0.6252 0.1245
0.6252 0.6252 0.6252
```

Output
Total moment ... 0.001 μB/f.u.
Mass density ... 17.039 g cm⁻³
Space group ... F-43m (216)
Energy relative to the lowest polymorph listed for this composition ... 450.5 meV per atom
ΔE_f ... 0.334 eV per atom


VASP calculation (GGA-PBE) on TcMoIr2 after structural relaxation.

Structure (POSCAR):
```
TcMoIr2
1.0
1.3782 0.7957 9.0682
-1.3782 0.7957 9.0682
0.0000 -1.5915 9.0682
Tc Mo Ir
1 1 2
Direct
0.0000 0.0000 0.0000
0.7544 0.7544 0.7544
0.2544 0.2544 0.2544
0.5014 0.5014 0.5014
```

Output
Total moment ... 0.000 μB/f.u.
Mass density ... 16.095 g cm⁻³
Space group ... R3m (160)
Energy relative to the lowest polymorph listed for this composition ... 294.4 meV per atom
ΔE_f ... -0.036 eV per atom


VASP calculation (GGA-PBE) on TcMoIr after structural relaxation.

Structure (POSCAR):
```
TcMoIr
1.0
4.2122 -2.4028 0.0000
4.2122 2.4028 0.0000
-2.7786 0.0000 4.4201
Tc Mo Ir
2 2 2
Direct
0.1679 0.1679 0.4908
0.8321 0.8321 0.5092
0.0004 0.6791 0.0237
0.3209 0.9996 0.9763
0.5072 0.4928 0.5000
0.6611 0.3389 0.0000
```

Output
Total moment ... 0.000 μB/f.u.
Mass density ... 14.333 g cm⁻³
Space group ... C2 (5)
Energy relative to the lowest polymorph listed for this composition ... 1.0 meV per atom
ΔE_f ... -0.172 eV per atom


VASP calculation (GGA-PBE) on TcMoIr4 after structural relaxation.

Structure (POSCAR):
```
TcMoIr4
1.0
4.1145 -5.0804 0.0000
4.1145 5.0804 0.0000
0.0000 0.0000 4.2722
Tc Mo Ir
2 2 8
Direct
0.0713 0.9287 0.7500
0.9287 0.0713 0.2500
0.3331 0.6669 0.7500
0.6669 0.3331 0.2500
0.0043 0.6643 0.2500
0.2574 0.3994 0.2500
0.3357 0.9957 0.2500
0.3994 0.2574 0.7500
0.6006 0.7426 0.2500
0.6643 0.0043 0.7500
0.7426 0.6006 0.7500
0.9957 0.3357 0.7500
```

Output
Total moment ... 0.000 μB/f.u.
Mass density ... 17.903 g cm⁻³
Space group ... Cmcm (63)
Energy relative to the lowest polymorph listed for this composition ... 0.0 meV per atom
ΔE_f ... -0.116 eV per atom


VASP calculation (GGA-PBE) on TcMoIr after structural relaxation.

Structure (POSCAR):
```
TcMoIr
1.0
4.8078 0.0000 0.0000
-2.3873 4.2147 0.0000
-0.0294 -2.7748 4.4152
Tc Mo Ir
2 2 2
Direct
0.0834 0.3267 0.2328
0.9166 0.6733 0.7672
0.2448 0.3306 0.7366
0.7552 0.6694 0.2634
0.4237 0.0019 0.2526
0.5763 0.9981 0.7474
```

Output
Total moment ... 0.000 μB/f.u.
Mass density ... 14.334 g cm⁻³
Space group ... P-1 (2)
Energy relative to the lowest polymorph listed for this composition ... 11.4 meV per atom
ΔE_f ... -0.162 eV per atom


VASP calculation (GGA-PBE) on Tc2MoIr2 after structural relaxation.

Structure (POSCAR):
```
Tc2MoIr2
1.0
7.4820 0.0000 0.0000
0.0000 7.4820 0.0000
0.0000 0.0000 2.7533
Tc Mo Ir
4 2 4
Direct
0.1726 0.3274 0.0000
0.3274 0.8274 0.0000
0.6726 0.1726 0.0000
0.8274 0.6726 0.0000
0.0000 0.0000 0.5000
0.5000 0.5000 0.5000
0.1244 0.6244 0.5000
0.3756 0.1244 0.5000
0.6244 0.8756 0.5000
0.8756 0.3756 0.5000
```

Output
Total moment ... 0.000 μB/f.u.
Mass density ... 14.574 g cm⁻³
Space group ... P4/mbm (127)
Energy relative to the lowest polymorph listed for this composition ... 0.0 meV per atom
ΔE_f ... 0.071 eV per atom


VASP calculation (GGA-PBE) on TcMoIr2 after structural relaxation.

Structure (POSCAR):
```
TcMoIr2
1.0
3.2991 0.0000 0.0000
0.0000 3.2991 0.0000
0.0000 0.0000 5.5808
Tc Mo Ir
1 1 2
Direct
0.0000 0.0000 0.0000
0.5000 0.5000 0.7284
0.0000 0.0000 0.4855
0.5000 0.5000 0.2403
```

Output
Total moment ... 0.000 μB/f.u.
Mass density ... 15.811 g cm⁻³
Space group ... P4mm (99)
Energy relative to the lowest polymorph listed for this composition ... 474.1 meV per atom
ΔE_f ... 0.143 eV per atom


VASP calculation (GGA-PBE) on TcMoIr after structural relaxation.

Structure (POSCAR):
```
TcMoIr
1.0
-1.3722 1.3722 5.9624
1.3722 -1.3722 5.9624
1.3722 1.3722 -5.9624
Tc Mo Ir
1 1 1
Direct
0.0000 0.0000 0.0000
0.3280 0.3280 0.0000
0.6585 0.6585 0.0000
```

Output
Total moment ... 0.000 μB/f.u.
Mass density ... 14.279 g cm⁻³
Space group ... I4mm (107)
Energy relative to the lowest polymorph listed for this composition ... 94.7 meV per atom
ΔE_f ... -0.078 eV per atom


VASP calculation (GGA-PBE) on TcMoIr2 after structural relaxation.

Structure (POSCAR):
```
TcMoIr2
1.0
-2.8118 2.8118 5.5767
2.8118 -2.8118 5.5767
2.8118 2.8118 -5.5767
Tc Mo Ir
2 2 4
Direct
0.0000 0.0000 0.0000
0.7500 0.2500 0.5000
0.2500 0.7500 0.5000
0.5000 0.5000 0.0000
0.1188 0.6250 0.9938
0.3750 0.3688 0.4938
0.6312 0.1250 0.0062
0.8750 0.8812 0.5062
```

Output
Total moment ... 0.000 μB/f.u.
Mass density ... 10.891 g cm⁻³
Space group ... I-42d (122)
Energy relative to the lowest polymorph listed for this composition ... 1302.6 meV per atom
ΔE_f ... 0.972 eV per atom


VASP calculation (GGA-PBE) on TcMo4Ir after structural relaxation.

Structure (POSCAR):
```
TcMo4Ir
1.0
0.0000 3.6244 3.6244
3.6244 0.0000 3.6244
3.6244 3.6244 0.0000
Tc Mo Ir
1 4 1
Direct
0.0000 0.0000 0.0000
0.3744 0.3744 0.3744
0.3744 0.3744 0.8767
0.3744 0.8767 0.3744
0.8767 0.3744 0.3744
0.7500 0.7500 0.7500
```

Output
Total moment ... 0.000 μB/f.u.
Mass density ... 11.753 g cm⁻³
Space group ... F-43m (216)
ΔE_f ... 0.244 eV per atom


VASP calculation (GGA-PBE) on Tc2MoIr2 after structural relaxation.

Structure (POSCAR):
```
Tc2MoIr2
1.0
-1.7701 1.7701 6.4397
1.7701 -1.7701 6.4397
1.7701 1.7701 -6.4397
Tc Mo Ir
2 1 2
Direct
0.2500 0.7500 0.5000
0.7500 0.2500 0.5000
0.0000 0.0000 0.0000
0.4035 0.4035 0.0000
0.5965 0.5965 0.0000
```

Output
Total moment ... 0.000 μB/f.u.
Mass density ... 13.916 g cm⁻³
Space group ... I4/mmm (139)
Energy relative to the lowest polymorph listed for this composition ... 288.8 meV per atom
ΔE_f ... 0.360 eV per atom


VASP calculation (GGA-PBE) on TcMoIr after structural relaxation.

Structure (POSCAR):
```
TcMoIr
1.0
4.3720 0.0000 0.0000
-2.1860 3.7863 0.0000
0.0000 0.0000 5.4844
Tc Mo Ir
2 2 2
Direct
0.3333 0.6667 0.2500
0.6667 0.3333 0.7500
0.0000 0.0000 0.0000
0.0000 0.0000 0.5000
0.3333 0.6667 0.7500
0.6667 0.3333 0.2500
```

Output
Total moment ... 0.000 μB/f.u.
Mass density ... 14.126 g cm⁻³
Space group ... P6_3/mmc (194)
Energy relative to the lowest polymorph listed for this composition ... 118.4 meV per atom
ΔE_f ... -0.055 eV per atom